# 1
Density functional theory data (PBE) for an optimized crystal structure of RbC.

Cell lengths 2.975, 2.975, 18.983 Å; angles 90.00, 90.00, 120.00 degrees
Sites, in units of the cell vectors:
Rb  0.667  0.333  0.621
Rb  0.333  0.667  0.121
C  0.667  0.333  0.250
C  0.000  0.000  0.250
C  0.000  0.000  0.750
Rb  0.333  0.667  0.379
Rb  0.667  0.333  0.879
C  0.333  0.667  0.750

Results
Calculated density in g/cm³: 4.45
Distance to the lowest polymorph of the same formula in eV/atom: 1.204
Space-group type: No. 194
Magnetization in μB per formula unit: 0.0
Fermi-level density of states in states/eV per atom: 0.3222

# 2
Density functional theory data (PBE) for an optimized crystal structure of Rb3C5.

Cell lengths 9.102, 9.288, 5.851 Å; angles 90.00, 90.00, 108.52 degrees
Site moments in Bohr magnetons follow the coordinates.
Sites, in units of the cell vectors:
C  0.685  0.974  0.750  1.19
C  0.798  0.431  0.124  0.00
C  0.318  0.806  0.250  0.06
C  0.798  0.431  0.376  0.00
Rb  0.584  0.606  0.750  0.03
Rb  0.310  0.354  0.250  0.04
C  0.306  0.246  0.750  1.19
C  0.958  0.724  0.750  1.19
Rb  0.981  0.816  0.250  0.04
Rb  0.319  0.904  0.750  0.04
Rb  0.636  0.057  0.250  0.04
C  0.684  0.480  0.250  0.21
C  0.909  0.378  0.250  0.21
C  0.323  0.674  0.129  0.06
Rb  0.069  0.445  0.750  0.03
C  0.323  0.674  0.371  0.06

Results
Calculated density in g/cm³: 2.24
Distance to the lowest polymorph of the same formula in eV/atom: 0.754
Space-group type: No. 6
Magnetization in μB per formula unit: 5.0
Fermi-level density of states in states/eV per atom: 0.4753

# 3
Density functional theory data (PBE) for an optimized crystal structure of Rb4C.

Cell lengths 4.762, 4.762, 16.777 Å; angles 90.00, 90.00, 120.00 degrees
Site moments in Bohr magnetons follow the coordinates.
Sites, in units of the cell vectors:
Rb  0.333  0.667  0.374  0.00
Rb  0.667  0.333  0.626  0.00
C  0.000  0.000  0.000  0.99
Rb  0.667  0.333  0.908  0.03
Rb  0.333  0.667  0.092  0.03

Results
Calculated density in g/cm³: 1.78
Distance to the lowest polymorph of the same formula in eV/atom: 0.000
Space-group type: No. 164
Magnetization in μB per formula unit: 2.2
Fermi-level density of states in states/eV per atom: 0.7111

# 4
Density functional theory data (PBE) for an optimized crystal structure of Rb2C.

Cell lengths 7.898, 7.898, 7.239 Å; angles 90.00, 90.00, 120.00 degrees
Site moments in Bohr magnetons follow the coordinates.
Sites, in units of the cell vectors:
Rb  0.000  0.335  0.263  0.02
Rb  0.000  0.665  0.737  0.02
Rb  0.335  0.000  0.263  0.02
Rb  0.665  0.665  0.263  0.02
C  0.000  0.000  0.000  0.95
Rb  0.335  0.335  0.737  0.02
C  0.667  0.333  0.500  0.97
C  0.333  0.667  0.500  0.97
Rb  0.665  0.000  0.737  0.02

Results
Calculated density in g/cm³: 2.33
Distance to the lowest polymorph of the same formula in eV/atom: 0.014
Space-group type: No. 162
Magnetization in μB per formula unit: 2.1
Fermi-level density of states in states/eV per atom: 0.3635

We obtain formation energy values of 1.50, 1.60, 0.88, 1.44 eV per atom for the records listed above, in that order.
We obtain electronic total energy values of -28.78, -72.46, -8.69, -20.52 eV for the cell shown for the records listed above, in that order.